Record 1
# Li2CuRh

A PBEsol-optimized structure of Li2CuRh (SCAN, Alexandria).

Cell: 2.9667 2.9667 5.3957 Å, 90.00 90.00 90.00°
Atoms (fractional coordinates):
Li 0.0000 0.0000 0.2491
Li 0.0000 0.0000 0.7509
Cu 0.5000 0.5000 0.5000
Rh 0.5000 0.5000 0.0000

Calculated values
Energy of formation (eV/atom): 0.018
DOS at the Fermi energy (states/eV per cell): 1.856
Crystal system: tetragonal
Raw total energy (eV/atom): -13.42
Magnetization (μB/f.u.): 0.00
Relative energy among the computed polymorphs (meV/atom): 155

---

Record 2
# BaTe3N

A PBEsol-optimized structure of BaTe3N (SCAN, Alexandria).

Cell: 6.6999 6.6999 6.6999 Å, 90.00 90.00 90.00°
Atoms (fractional coordinates):
Ba 0.0000 0.0000 0.0000
Te 0.0000 0.0000 0.5000
Te 0.0000 0.5000 0.0000
Te 0.5000 0.0000 0.0000
N 0.5000 0.5000 0.5000

Calculated values
DOS at the Fermi energy (states/eV per cell): 2.949
Crystal system: cubic
Formation energy without anion corrections (eV per atom): 1.0468
Raw total energy (eV/atom): -31.07
Magnetization (μB/f.u.): 7.00

---

Record 3
# BeZn2Re

A PBEsol-optimized structure of BeZn2Re (SCAN, Alexandria).

Cell: 2.5978 2.5978 8.0684 Å, 90.00 90.00 107.88°
Atoms (fractional coordinates):
Be 0.0000 0.0000 0.0000
Zn 0.0000 0.0000 0.5041
Zn 0.5000 0.5000 0.2330
Re 0.5000 0.5000 0.7752

Calculated values
Energy of formation (eV/atom): 0.138
DOS at the Fermi energy (states/eV per cell): 1.297
Crystal system: orthorhombic
Raw total energy (eV/atom): -25.48
Magnetization (μB/f.u.): 0.00

---

Record 4
# GaSb3Au

A PBEsol-optimized structure of GaSb3Au (SCAN, Alexandria).

Cell: 5.3539 5.3539 5.3539 Å, 90.00 90.00 90.00°
Atoms (fractional coordinates):
Ga 0.0000 0.0000 0.0000
Sb 0.0000 0.5000 0.5000
Sb 0.5000 0.0000 0.5000
Sb 0.5000 0.5000 0.0000
Au 0.5000 0.5000 0.5000

Calculated values
DOS at the Fermi energy (states/eV per cell): 3.858
Crystal system: cubic
Formation energy without anion corrections (eV per atom): 0.6460
Raw total energy (eV/atom): -38.81
Magnetization (μB/f.u.): 0.00

---

Record 5
# PaTc2Sn

A PBEsol-optimized structure of PaTc2Sn (SCAN, Alexandria).

Cell: 4.6807 4.6807 4.6807 Å, 60.00 60.00 60.00°
Atoms (fractional coordinates):
Pa 0.0000 0.0000 0.0000
Tc 0.2500 0.2500 0.2500
Tc 0.7500 0.7500 0.7500
Sn 0.5000 0.5000 0.5000

Calculated values
Energy of formation (eV/atom): -0.214
DOS at the Fermi energy (states/eV per cell): 3.207
Crystal system: cubic
Raw total energy (eV/atom): -51.64
Magnetization (μB/f.u.): 0.00

---

Record 6
# Li4Ge5O12

A PBEsol-optimized structure of Li4Ge5O12 (SCAN, Alexandria).

Cell: 5.1231 9.1483 9.6027 Å, 73.10 78.11 79.01°
Atoms (fractional coordinates):
Li 0.1349 0.4079 0.4064
Li 0.2724 0.9063 0.0228
Li 0.3128 0.7688 0.5561
Li 0.3458 0.5765 0.1131
Li 0.6542 0.4235 0.8869
Li 0.6872 0.2312 0.4439
Li 0.7276 0.0937 0.9772
Li 0.8651 0.5921 0.5936
Ge 0.1188 0.5945 0.8513
Ge 0.1884 0.0993 0.6814
Ge 0.1892 0.2539 0.9352
Ge 0.2644 0.0971 0.2691
Ge 0.4100 0.4205 0.6451
Ge 0.5900 0.5795 0.3549
Ge 0.7356 0.9029 0.7309
Ge 0.8108 0.7461 0.0648
Ge 0.8116 0.9007 0.3186
Ge 0.8812 0.4055 0.1487
O 0.0485 0.2601 0.3035
O 0.0512 0.4308 0.7752
O 0.1001 0.9335 0.3744
O 0.1022 0.0991 0.8672
O 0.1498 0.7335 0.9507
O 0.2345 0.4224 0.0143
O 0.2646 0.5679 0.4841
O 0.3196 0.2632 0.5674
O 0.3484 0.0983 0.0829
O 0.4322 0.9348 0.6586
O 0.4469 0.5801 0.7301
O 0.4850 0.7300 0.1884
O 0.5150 0.2700 0.8116
O 0.5531 0.4199 0.2699
O 0.5678 0.0652 0.3414
O 0.6516 0.9017 0.9171
O 0.6804 0.7368 0.4326
O 0.7354 0.4321 0.5159
O 0.7655 0.5776 0.9857
O 0.8502 0.2665 0.0493
O 0.8978 0.9009 0.1328
O 0.8999 0.0665 0.6256
O 0.9488 0.5692 0.2248
O 0.9515 0.7399 0.6965

Calculated values
DOS at the Fermi energy (states/eV per cell): 0.000
Crystal system: triclinic
Formation energy without anion corrections (eV per atom): -1.9944
Raw total energy (eV/atom): -10.56
Magnetization (μB/f.u.): 0.00

---

Record 7
# CsVO3

A PBEsol-optimized structure of CsVO3 (SCAN, Alexandria).

Cell: 5.3879 12.1604 5.7731 Å, 90.00 90.00 90.00°
Atoms (fractional coordinates):
Cs 0.0865 0.0971 0.2500
Cs 0.0865 0.4029 0.7500
Cs 0.9135 0.5971 0.2500
Cs 0.9135 0.9029 0.7500
V 0.4516 0.6714 0.7500
V 0.4516 0.8286 0.2500
V 0.5484 0.1714 0.7500
V 0.5484 0.3286 0.2500
O 0.1482 0.6526 0.7500
O 0.1482 0.8474 0.2500
O 0.4073 0.0516 0.7500
O 0.4073 0.4484 0.2500
O 0.4546 0.2500 0.0000
O 0.4546 0.2500 0.5000
O 0.5454 0.7500 0.0000
O 0.5454 0.7500 0.5000
O 0.5927 0.5516 0.7500
O 0.5927 0.9484 0.2500
O 0.8518 0.1526 0.7500
O 0.8518 0.3474 0.2500

Calculated values
DOS at the Fermi energy (states/eV per cell): 0.000
Crystal system: orthorhombic
Formation energy without anion corrections (eV per atom): -2.5667
Raw total energy (eV/atom): -17.37
Magnetization (μB/f.u.): 0.00

---

Record 8
# LiCaTc2

A PBEsol-optimized structure of LiCaTc2 (SCAN, Alexandria).

Cell: 2.5785 4.8820 5.1344 Å, 90.00 90.00 90.00°
Atoms (fractional coordinates):
Li 0.0000 0.0000 0.0000
Ca 0.0000 0.0000 0.5000
Tc 0.5000 0.5000 0.2484
Tc 0.5000 0.5000 0.7516

Calculated values
Energy of formation (eV/atom): 0.519
DOS at the Fermi energy (states/eV per cell): 1.604
Crystal system: orthorhombic
Raw total energy (eV/atom): -20.02
Magnetization (μB/f.u.): 0.00
Relative energy among the computed polymorphs (meV/atom): 305